No. 1
CePu2Pt after structural relaxation. Source: Alexandria via LeMat-Bulk, functional GGA-PBE. Values from VASP.

The structure in Quantum ESPRESSO input format:
```
&SYSTEM
  ibrav = 0, nat = 4, ntyp = 3
/
ATOMIC_SPECIES
Ce 140.12 Ce.upf
Pt 195.08 Pt.upf
Pu 244.00 Pu.upf
CELL_PARAMETERS angstrom
-5.012 0.327 -0.437
-2.803 -4.190 -0.066
-2.951 -1.120 3.931
ATOMIC_POSITIONS angstrom
Ce 0.000 0.000 0.000
Pt -5.383 -2.492 1.714
Pu -2.691 -1.246 0.857
Pu -8.074 -3.738 2.571
```

No. 2
CePu6Pt5 after structural relaxation. Source: Alexandria via LeMat-Bulk, functional GGA-PBE. Values from VASP.

The structure in Quantum ESPRESSO input format:
```
&SYSTEM
  ibrav = 0, nat = 12, ntyp = 3
/
ATOMIC_SPECIES
Ce 140.12 Ce.upf
Pt 195.08 Pt.upf
Pu 244.00 Pu.upf
CELL_PARAMETERS angstrom
-2.154 -1.462 4.290
-1.615 -6.289 -2.956
8.434 1.172 1.700
ATOMIC_POSITIONS angstrom
Ce 0.000 0.000 0.000
Pt 0.868 -1.423 2.885
Pt 4.372 -1.670 1.625
Pt -0.808 -3.144 -1.478
Pt 0.294 -4.909 1.408
Pt 3.798 -5.155 0.148
Pu 2.658 -3.889 2.943
Pu 3.636 -0.980 4.426
Pu 6.017 -4.035 1.645
Pu -1.351 -2.544 1.388
Pu 1.029 -5.599 -1.393
Pu 2.007 -2.690 0.090
```

No. 3
CePu4Pt5 after structural relaxation. Source: Alexandria via LeMat-Bulk, functional GGA-PBE. Values from VASP.

The structure in Quantum ESPRESSO input format:
```
&SYSTEM
  ibrav = 0, nat = 10, ntyp = 3
/
ATOMIC_SPECIES
Ce 140.12 Ce.upf
Pu 244.00 Pu.upf
Pt 195.08 Pt.upf
CELL_PARAMETERS angstrom
-3.779 0.364 0.118
-0.259 -3.299 1.865
1.054 6.926 12.395
ATOMIC_POSITIONS angstrom
Ce 0.000 0.000 0.000
Pu 0.230 1.509 2.701
Pu 0.411 2.703 4.837
Pu 0.642 4.223 7.558
Pu 0.824 5.417 9.694
Pt -1.908 -0.734 2.305
Pt -1.703 0.609 4.709
Pt -1.492 1.995 7.189
Pt -1.282 3.381 9.670
Pt -1.077 4.725 12.073
```

No. 4
CePu2Pt after structural relaxation. Source: Alexandria via LeMat-Bulk, functional GGA-PBE. Values from VASP.

The structure in Quantum ESPRESSO input format:
```
&SYSTEM
  ibrav = 0, nat = 4, ntyp = 3
/
ATOMIC_SPECIES
Ce 140.12 Ce.upf
Pt 195.08 Pt.upf
Pu 244.00 Pu.upf
CELL_PARAMETERS angstrom
3.861 0.000 0.000
0.000 4.912 0.000
0.000 0.000 4.912
ATOMIC_POSITIONS angstrom
Ce 1.931 2.456 2.456
Pt 1.931 0.000 0.000
Pu 0.000 0.000 2.456
Pu 0.000 2.456 0.000
```

| no. | formation energy (eV per atom) |
| --- | --- |
| 1 | -0.388 |
| 2 | -0.617 |
| 3 | -0.379 |
| 4 | -0.295 |